(1)
Here is Tl2SnAs after structural relaxation from Alexandria. Energies are from PBE-GGA.

Cell lengths 3.3817, 3.3817, 34.0367 Å; angles 90.00, 90.00, 120.00 degrees
Space group R-3m (No. 166, hexagonal axes)
Unique sites:
Tl  0.0000  0.0000  0.0945 [6 per cell]
Sn  0.0000  0.0000  0.0000 [3 per cell]
As  0.0000  0.0000  0.5000 [3 per cell]

Summary:
**DFT formation energy**: 0.208 eV/atom
**M_tot**: 0.00 μB per formula unit
**Fermi-level density of states**: 7.07 states/eV/cell
**Offset from the most stable computed form**: 217 meV/atom
**Calculated total energy**: -3.138 eV/atom

(2)
Here is MgMoIr2 after structural relaxation from Alexandria. Energies are from PBE-GGA.

Cell lengths 4.612, 4.612, 2.885 Å; angles 90.00, 90.00, 90.00 degrees
Space group P4/mmm (No. 123)
Unique sites:
Mg  0.000  0.000  0.000 [1 per cell]
Mo  0.500  0.500  0.000 [1 per cell]
Ir  0.000  0.500  0.500 [2 per cell]

Summary:
**DFT formation energy**: -0.121 eV/atom
**M_tot**: 0.01 μB per formula unit
**Fermi-level density of states**: 5.87 states/eV/cell
**Calculated total energy**: -7.658 eV/atom

(3)
Here is RbPtN3 after structural relaxation from Alexandria. Energies are from PBE-GGA.

Cell lengths 4.062, 4.062, 4.062 Å; angles 90.00, 90.00, 90.00 degrees
Space group Pm-3m (No. 221)
Unique sites:
Rb  0.000  0.000  0.000 [1 per cell]
Pt  0.500  0.500  0.500 [1 per cell]
N  0.000  0.500  0.500 [3 per cell]

Summary:
**M_tot**: 0.01 μB per formula unit
**Fermi-level density of states**: 6.33 states/eV/cell
**Calculated total energy**: -4.747 eV/atom
**Formation energy without anion corrections**: 1649.6 meV per atom

(4)
Here is TcHgRh2 after structural relaxation from Alexandria. Energies are from PBE-GGA.

Cell lengths 2.822, 2.822, 7.923 Å; angles 90.00, 90.00, 90.00 degrees
Space group P4/mmm (No. 123)
Unique sites:
Tc  0.000  0.000  0.000 [1 per cell]
Hg  0.000  0.000  0.500 [1 per cell]
Rh  0.500  0.500  0.224 [2 per cell]

Summary:
**DFT formation energy**: 0.001 eV/atom
**M_tot**: 0.00 μB per formula unit
**Fermi-level density of states**: 3.24 states/eV/cell
**Calculated total energy**: -6.341 eV/atom

(5)
Here is Sr3ZnGa2 after structural relaxation from Alexandria. Energies are from PBE-GGA.

Cell lengths 13.117, 4.638, 12.491 Å; angles 90.00, 90.00, 90.00 degrees
Space group Pnma (No. 62)
Unique sites:
Sr  0.054  0.250  0.127 [4 per cell]
Sr  0.118  0.750  0.571 [4 per cell]
Sr  0.208  0.250  0.812 [4 per cell]
Zn  0.127  0.250  0.383 [4 per cell]
Ga  0.036  0.750  0.318 [4 per cell]
Ga  0.201  0.750  0.005 [4 per cell]

Summary:
**DFT formation energy**: -0.314 eV/atom
**M_tot**: 0.00 μB per formula unit
**Fermi-level density of states**: 21.19 states/eV/cell
**Calculated total energy**: -2.376 eV/atom

(6)
Here is Ca2NpGe4Pt3 after structural relaxation from Alexandria. Energies are from PBE-GGA.

Cell lengths 4.241, 4.241, 11.717 Å; angles 90.00, 90.00, 90.00 degrees
Space group P-4m2 (No. 115)
Unique sites:
Ca  0.000  0.500  0.232 [2 per cell]
Np  0.000  0.000  0.500 [1 per cell]
Ge  0.000  0.000  0.000 [1 per cell]
Ge  0.000  0.500  0.669 [2 per cell]
Ge  0.500  0.500  0.000 [1 per cell]
Pt  0.000  0.500  0.880 [2 per cell]
Pt  0.500  0.500  0.500 [1 per cell]

Summary:
**DFT formation energy**: -0.588 eV/atom
**M_tot**: 3.53 μB per formula unit
**Fermi-level density of states**: 10.39 states/eV/cell
**Calculated total energy**: -5.941 eV/atom